Record 1
# Pr7Dy12Er PBE relaxed
data_Pr7Dy12Er
_chemical_formula_sum 'Pr14 Dy24 Er2'
_symmetry_space_group_name_H-M 'I m -3 m'
_symmetry_Int_Tables_number 229
_symmetry_space_group_name_Hall '-I 4 2 3'
_cell_length_a 11.363
_cell_length_b 11.363
_cell_length_c 11.363
_cell_angle_alpha 90.00
_cell_angle_beta 90.00
_cell_angle_gamma 90.00
loop_
_atom_site_label
_atom_site_type_symbol
_atom_site_fract_x
_atom_site_fract_y
_atom_site_fract_z
Pr1 Pr 0.000 0.000 0.500
Pr2 Pr 0.250 0.250 0.250
Dy1 Dy 0.000 0.245 0.245
Er1 Er 0.000 0.000 0.000
# crystal system	cubic


Record 2
# Pm2TmHg PBE relaxed
data_Pm2TmHg
_chemical_formula_sum 'Pm8 Tm4 Hg4'
_symmetry_space_group_name_H-M 'C m c m'
_symmetry_Int_Tables_number 63
_symmetry_space_group_name_Hall '-C 2c 2'
_cell_length_a 3.686
_cell_length_b 12.556
_cell_length_c 10.365
_cell_angle_alpha 90.00
_cell_angle_beta 90.00
_cell_angle_gamma 90.00
loop_
_atom_site_label
_atom_site_type_symbol
_atom_site_fract_x
_atom_site_fract_y
_atom_site_fract_z
Pm1 Pm 0.000 0.129 0.042
Tm1 Tm 0.000 0.451 0.250
Hg1 Hg 0.000 0.252 0.750
# crystal system	orthorhombic


Record 3
# TmCrGe2 PBE relaxed
data_TmCrGe2
_chemical_formula_sum 'Tm3 Cr3 Ge6'
_symmetry_space_group_name_H-M 'R -3 m'
_symmetry_Int_Tables_number 166
_symmetry_space_group_name_Hall '-R 3 2"'
_cell_length_a 4.7288
_cell_length_b 4.7288
_cell_length_c 19.4935
_cell_angle_alpha 90.00
_cell_angle_beta 90.00
_cell_angle_gamma 120.00
loop_
_atom_site_label
_atom_site_type_symbol
_atom_site_fract_x
_atom_site_fract_y
_atom_site_fract_z
Tm1 Tm 0.0000 0.0000 0.0000
Cr1 Cr 0.0000 0.0000 0.5000
Ge1 Ge 0.0000 0.0000 0.3720
# crystal system	trigonal


Record 4
# KLi2Tl PBE relaxed
data_KLi2Tl
_chemical_formula_sum 'K2 Li4 Tl2'
_symmetry_space_group_name_H-M 'I m m m'
_symmetry_Int_Tables_number 71
_symmetry_space_group_name_Hall '-I 2 2'
_cell_length_a 4.825
_cell_length_b 5.738
_cell_length_c 8.243
_cell_angle_alpha 90.00
_cell_angle_beta 90.00
_cell_angle_gamma 90.00
loop_
_atom_site_label
_atom_site_type_symbol
_atom_site_fract_x
_atom_site_fract_y
_atom_site_fract_z
K1 K 0.000 0.000 0.000
Li1 Li 0.000 0.500 0.214
Tl1 Tl 0.000 0.000 0.500
# crystal system	orthorhombic


One value per record, in order, for volume: 36.7, 30.0, 31.5, 28.5 Å³ per atom.
One value per record, in order, for DFT formation energy: 632, -222, 650, 2 meV/atom.